Record 1
Density functional theory data (PBE) for a relaxed structure of Li4Ag2BiP.

a b c (Å): 4.489 4.489 6.664
angles (deg): 90.00 90.00 90.00
Space group P-4m2 (No. 115)
One atom of each set of equivalent atoms:
Li1 0.000 0.000 0.000 [1 per cell]
Li2 0.000 0.500 0.221 [2 per cell]
Li3 0.500 0.500 0.500 [1 per cell]
Ag1 0.000 0.500 0.783 [2 per cell]
Bi1 0.000 0.000 0.500 [1 per cell]
P1 0.500 0.500 0.000 [1 per cell]

Record 2
Density functional theory data (PBE) for a relaxed structure of LiPr2AgBi4.

a b c (Å): 4.570 4.570 10.743
angles (deg): 90.00 90.00 90.00
Space group P-4m2 (No. 115)
One atom of each set of equivalent atoms:
Li1 0.000 0.000 0.000 [1 per cell]
Pr1 0.000 0.500 0.255 [2 per cell]
Ag1 0.500 0.500 0.000 [1 per cell]
Bi1 0.000 0.000 0.500 [1 per cell]
Bi2 0.000 0.500 0.827 [2 per cell]
Bi3 0.500 0.500 0.500 [1 per cell]

Record 3
Density functional theory data (PBE) for a relaxed structure of Li4AgBi2Pt.

a b c (Å): 4.686 4.686 6.697
angles (deg): 90.00 90.00 90.00
Space group P-4m2 (No. 115)
One atom of each set of equivalent atoms:
Li1 0.000 0.000 0.000 [1 per cell]
Li2 0.000 0.500 0.231 [2 per cell]
Li3 0.500 0.500 0.500 [1 per cell]
Ag1 0.000 0.000 0.500 [1 per cell]
Bi1 0.000 0.500 0.760 [2 per cell]
Pt1 0.500 0.500 0.000 [1 per cell]

Record 4
Density functional theory data (PBE) for a relaxed structure of Li4Ag2BiSb.

a b c (Å): 4.722 4.722 6.687
angles (deg): 90.00 90.00 90.00
Space group P-4m2 (No. 115)
One atom of each set of equivalent atoms:
Li1 0.000 0.000 0.000 [1 per cell]
Li2 0.000 0.500 0.245 [2 per cell]
Li3 0.500 0.500 0.500 [1 per cell]
Ag1 0.000 0.500 0.762 [2 per cell]
Bi1 0.000 0.000 0.500 [1 per cell]
Sb1 0.500 0.500 0.000 [1 per cell]

What are the total DFT energy (no corrections) values for these records? In order: -3.219, -4.443, -3.517, -3.091 eV/atom.